Density functional theory data (PBE-GGA) for an optimized crystal structure of AcZn2H8.

**DOS(E_F)**: 0.8 states/eV per cell
**E_tot**: -3.0445 eV per atom

a = 4.485 Å, b = 4.839 Å, c = 6.409 Å
α = 108.41°, β = 90.00°, γ = 117.60°
Atoms (fractional coordinates):
Ac 0.000 0.000 0.000
Zn 0.238 0.475 0.668
Zn 0.762 0.525 0.332
H 0.530 0.606 0.171
H 0.923 0.394 0.829
H 0.136 0.272 0.404
H 0.864 0.728 0.596
H 0.077 0.606 0.171
H 0.470 0.394 0.829
H 0.445 0.891 0.796
H 0.555 0.109 0.204